Record 1
# KTa3O7 | Alexandria via LeMat-Bulk | GGA-PBE | optimized geometry
# uncorrected formation energy = -2425 meV/atom
# E = -196.07 eV per cell
data_KTa3O7
_chemical_formula_sum 'K2 Ta6 O14'
_cell_length_a 6.726
_cell_length_b 12.022
_cell_length_c 3.819
_cell_angle_alpha 90.00
_cell_angle_beta 90.00
_cell_angle_gamma 90.00
_space_group_name_H-M_alt 'C m m m'
_space_group_IT_number 65
_space_group_name_Hall '-C 2 2'
loop_
_atom_site_label
_atom_site_fract_x
_atom_site_fract_y
_atom_site_fract_z
K1 0.000 0.000 0.000
Ta1 0.000 0.262 0.000
Ta2 0.000 0.500 0.000
O1 0.000 0.221 0.500
O2 0.000 0.500 0.500
O3 0.221 0.365 0.000

=====

Record 2
# KTa3O | Alexandria via LeMat-Bulk | GGA-PBE | optimized geometry
# uncorrected formation energy = 545 meV/atom
# distance to the lowest polymorph of the same formula = 0.000 eV/atom
# E = -38.89 eV per cell
data_KTa3O
_chemical_formula_sum 'K1 Ta3 O1'
_cell_length_a 4.445
_cell_length_b 4.445
_cell_length_c 4.445
_cell_angle_alpha 90.00
_cell_angle_beta 90.00
_cell_angle_gamma 90.00
_space_group_name_H-M_alt 'P m -3 m'
_space_group_IT_number 221
_space_group_name_Hall '-P 4 2 3'
loop_
_atom_site_label
_atom_site_fract_x
_atom_site_fract_y
_atom_site_fract_z
K1 0.000 0.000 0.000
Ta1 0.000 0.500 0.500
O1 0.500 0.500 0.500

=====

Record 3
# K2TaO4 | Alexandria via LeMat-Bulk | GGA-PBE | optimized geometry
# uncorrected formation energy = -2151 meV/atom
# E = -97.87 eV per cell
data_K2TaO4
_chemical_formula_sum 'K4 Ta2 O8'
_cell_length_a 4.044
_cell_length_b 4.044
_cell_length_c 13.866
_cell_angle_alpha 90.00
_cell_angle_beta 90.00
_cell_angle_gamma 90.00
_space_group_name_H-M_alt 'I 4/m m m'
_space_group_IT_number 139
_space_group_name_Hall '-I 4 2'
loop_
_atom_site_label
_atom_site_fract_x
_atom_site_fract_y
_atom_site_fract_z
K1 0.000 0.000 0.157
Ta1 0.000 0.000 0.500
O1 0.000 0.000 0.359
O2 0.000 0.500 0.000

=====

Record 4
# K2Ta15O32 | Alexandria via LeMat-Bulk | GGA-PBE | optimized geometry
# uncorrected formation energy = -2680 meV/atom
# E = -1409.91 eV per cell
data_K2Ta15O32
_chemical_formula_sum 'K6 Ta45 O96'
_cell_length_a 7.8631
_cell_length_b 7.8631
_cell_length_c 36.3415
_cell_angle_alpha 90.00
_cell_angle_beta 90.00
_cell_angle_gamma 120.00
_space_group_name_H-M_alt 'R -3'
_space_group_IT_number 148
_space_group_name_Hall '-R 3'
loop_
_atom_site_label
_atom_site_fract_x
_atom_site_fract_y
_atom_site_fract_z
K1 0.0000 0.0000 0.1410
Ta1 0.0000 0.0000 0.3625
Ta2 0.0000 0.0000 0.5000
Ta3 0.0198 0.8032 0.0325
Ta4 0.0662 0.8059 0.2341
O1 0.0000 0.0000 0.2631
O2 0.0011 0.7941 0.5321
O3 0.0267 0.7917 0.9339
O4 0.0596 0.8229 0.7902
O5 0.0621 0.8235 0.3947
O6 0.0751 0.8365 0.6666